Entry from OQMD via LeMat-Bulk: a relaxed structure of Gd6GaCo2 (PBE). Values from VASP.

Properties
- E (eV/atom) = -5.2814
- spin magnetization (μB per atom) = 0.002

Quantum ESPRESSO input file:
```
&SYSTEM
  ibrav = 0, nat = 18, ntyp = 3
/
ATOMIC_SPECIES
Co 58.93 Co.upf
Ga 69.72 Ga.upf
Gd 157.25 Gd.upf
CELL_PARAMETERS angstrom
6.905 2.453 -3.979
1.320 -7.473 3.456
-6.145 -0.206 -5.633
ATOMIC_POSITIONS crystal
Co 0.114 0.000 0.114
Co 0.666 0.166 0.500
Co 0.334 0.834 0.500
Co 0.886 0.000 0.886
Ga 0.500 0.500 0.000
Ga 0.000 0.500 0.500
Gd 0.327 0.812 0.139
Gd 0.820 0.040 0.220
Gd 0.180 0.399 0.220
Gd 0.565 0.303 0.262
Gd 0.960 0.697 0.262
Gd 0.673 0.812 0.485
Gd 0.327 0.188 0.515
Gd 0.040 0.303 0.738
Gd 0.435 0.697 0.738
Gd 0.820 0.601 0.780
Gd 0.180 0.960 0.780
Gd 0.673 0.188 0.861
```